The following is a DFT calculation (GGA-PBE) of a geometry-optimized K2HfCl structure.

Properties
The value obtained for the distance to the lowest polymorph of the same formula is 1.29 eV/f.u. For the electronic total energy, the calculation gives -2.94 eV per atom. As for the symmetry: Fm-3m (225).

Lattice parameters (Å, degrees): 6.1452 6.1452 6.1452 60.00 60.00 60.00
Closest atoms and distances in Å follow each position.
Fractional positions:
K (0.2500, 0.2500, 0.2500)  4 Hf 3.76, 4 Cl 3.76
K (0.7500, 0.7500, 0.7500)  4 Hf 3.76, 4 Cl 3.76
Hf (0.0000, 0.0000, 0.0000)  8 K 3.76
Cl (0.5000, 0.5000, 0.5000)  8 K 3.76



The following is a DFT calculation (GGA-PBE) of a geometry-optimized ZnSeO3 structure.

Properties
For the electronic total energy, the calculation gives -3.73 eV per atom. As for the symmetry: Pm-3m (221).

Lattice parameters (Å, degrees): 3.8041 3.8041 3.8041 90.00 90.00 90.00
Closest atoms and distances in Å follow each position.
Fractional positions:
Zn (0.0000, 0.0000, 0.0000)  6 O 1.90
Se (0.5000, 0.5000, 0.5000)  12 O 2.69
O (0.0000, 0.0000, 0.5000)  2 Zn 1.90
O (0.0000, 0.5000, 0.0000)  2 Zn 1.90
O (0.5000, 0.0000, 0.0000)  2 Zn 1.90



The following is a DFT calculation (GGA-PBE) of a geometry-optimized La3Ge5 structure.

Properties
For the electronic total energy, the calculation gives -5.51 eV per atom. As for the symmetry: Fdd2 (43). For the energy relative to the elements, the calculation gives -75 kJ per mole of atoms.

Lattice parameters (Å, degrees): 11.6387 7.8235 9.6385 82.90 41.84 55.26
Closest atoms and distances in Å follow each position.
Fractional positions:
La (0.0000, 0.0000, 0.0000)  10 Ge 3.18-3.47
La (0.2500, 0.2500, 0.2500)  10 Ge 3.18-3.47
La (0.3269, 0.6613, 0.3364)  9 Ge 3.14-3.38
La (0.5747, 0.9136, 0.5887)  9 Ge 3.14-3.38
La (0.6613, 0.3269, 0.6753)  9 Ge 3.14-3.38
La (0.9136, 0.5747, 0.9231)  9 Ge 3.14-3.38
Ge (0.0582, 0.7689, 0.2659)  3 Ge 2.55-2.66
Ge (0.1910, 0.4855, 0.9567)  2 Ge 2.55-2.66
Ge (0.2933, 0.8832, 0.0590)  2 Ge 2.55-2.66
Ge (0.3430, 0.9841, 0.4811)  3 Ge 2.55-2.66
Ge (0.4855, 0.1910, 0.3668)  2 Ge 2.55-2.66
Ge (0.5625, 0.5625, 0.4375)  2 Ge 2.59
Ge (0.7689, 0.0582, 0.9070)  3 Ge 2.55-2.66
Ge (0.8125, 0.8125, 0.6875)  2 Ge 2.59
Ge (0.8832, 0.2933, 0.7645)  2 Ge 2.55-2.66
Ge (0.9841, 0.3430, 0.1918)  3 Ge 2.55-2.66



The following is a DFT calculation (GGA-PBE) of a geometry-optimized Mn2VNiPt structure.

Properties
The value obtained for the distance to the lowest polymorph of the same formula is 0.00 eV/f.u. For the electronic total energy, the calculation gives -6.78 eV per atom. As for the symmetry: P4/mmm (123). For the energy relative to the elements, the calculation gives 104 kJ per mole of atoms.

Lattice parameters (Å, degrees): 4.1534 4.1534 4.2361 90.00 90.00 90.00
Closest atoms and distances in Å follow each position.
Fractional positions:
Mn (0.0000, 0.5000, 0.0000)  2 Ni 2.08
Mn (0.5000, 0.0000, 0.0000)  2 Ni 2.08
V (0.0000, 0.0000, 0.5000)  2 Ni 2.12
Ni (0.0000, 0.0000, 0.0000)  4 Mn 2.08, 2 V 2.12
Pt (0.5000, 0.5000, 0.5000)  4 V 2.94, 8 Mn 2.97



The following is a DFT calculation (GGA-PBE) of a geometry-optimized Cs2Zn2AgSe4 structure.

Properties
For the electronic total energy, the calculation gives -3.09 eV per atom. As for the symmetry: C2/m (12).

Lattice parameters (Å, degrees): 9.2229 9.2229 7.9006 107.79 107.79 25.41
Closest atoms and distances in Å follow each position.
Fractional positions:
Cs (0.1218, 0.1218, 0.0159)  7 Se 3.63-3.82, 1 Ag 3.98, 2 Cs 4.06
Cs (0.8782, 0.8782, 0.9841)  7 Se 3.63-3.82, 1 Ag 3.98, 2 Cs 4.06
Zn (0.3221, 0.3221, 0.5039)  4 Se 2.48-2.59
Zn (0.6779, 0.6779, 0.4961)  4 Se 2.48-2.59
Ag (0.0000, 0.0000, 0.5000)  4 Se 2.69
Se (0.2249, 0.2249, 0.6858)  3 Zn 2.51-2.59
Se (0.4626, 0.4626, 0.6809)  1 Zn 2.48, 2 Ag 2.69
Se (0.5374, 0.5374, 0.3191)  1 Zn 2.48, 2 Ag 2.69
Se (0.7751, 0.7751, 0.3142)  3 Zn 2.51-2.59



The following is a DFT calculation (GGA-PBE) of a geometry-optimized Ca2Ga5Pt structure.

Properties
The value obtained for the distance to the lowest polymorph of the same formula is 1.01 eV/f.u. For the electronic total energy, the calculation gives -3.59 eV per atom. As for the symmetry: I4mm (107). For the energy relative to the elements, the calculation gives -42 kJ per mole of atoms.

Lattice parameters (Å, degrees): 6.5348 6.5348 6.5348 124.59 124.59 82.22
Closest atoms and distances in Å follow each position.
Fractional positions:
Ca (0.0000, 0.5000, 0.5000)  10 Ga 3.10-3.35
Ca (0.5000, 0.0000, 0.5000)  10 Ga 3.10-3.35
Ga (0.0249, 0.0249, 0.5682)  1 Pt 2.49, 3 Ga 2.62-2.69
Ga (0.0249, 0.4567, 0.0000)  1 Pt 2.49, 3 Ga 2.62-2.69
Ga (0.4381, 0.4381, 0.0000)  1 Pt 2.47, 4 Ga 2.69
Ga (0.4567, 0.0249, 0.0000)  1 Pt 2.49, 3 Ga 2.62-2.69
Ga (0.4567, 0.4567, 0.4318)  1 Pt 2.49, 3 Ga 2.62-2.69
Pt (0.6889, 0.6889, 0.0000)  5 Ga 2.47-2.49



- Which formula does entry 2 have?
  ZnSeO3